Entry 1:
A relaxed structure of SrLiCoH6. Source: Alexandria, functional PBE. Values from VASP.

Structure (Quantum ESPRESSO input):
```
&SYSTEM
  ibrav = 0, nat = 9, ntyp = 4
/
ATOMIC_SPECIES
Sr 87.62 Sr.upf
Li 6.94 Li.upf
Co 58.93 Co.upf
H 1.01 H.upf
CELL_PARAMETERS angstrom
4.7056 0.0000 0.0000
2.3528 4.0751 0.0001
0.0001 -0.0001 4.6421
ATOMIC_POSITIONS crystal
Sr 0.0000 0.0000 0.0000
Li 0.6666 0.6667 0.5000
Co 0.3333 0.3333 0.5000
H 0.0544 0.3771 0.3001
H 0.3771 0.0544 0.6999
H 0.5685 0.3771 0.6999
H 0.0544 0.5685 0.6999
H 0.3771 0.5685 0.3001
H 0.5685 0.0544 0.3001
```

Computed properties:
- volume (Å³/atom) = 9.89
- electronic total energy (eV/atom) = -3.765


Entry 2:
A relaxed structure of LaIr5. Source: Alexandria, functional PBE. Values from VASP.

Structure (Quantum ESPRESSO input):
```
&SYSTEM
  ibrav = 0, nat = 6, ntyp = 2
/
ATOMIC_SPECIES
Ir 192.22 Ir.upf
La 138.91 La.upf
CELL_PARAMETERS angstrom
5.3846 0.0011 0.0000
-2.6943 4.6621 0.0000
0.0000 0.0000 4.3289
ATOMIC_POSITIONS crystal
Ir 0.3332 0.6668 0.0000
Ir 0.6668 0.3332 0.0000
Ir 0.5000 0.0000 0.5000
Ir 0.0000 0.5000 0.5000
Ir 0.5000 0.5000 0.5000
La 0.0000 0.0000 0.0000
```

Computed properties:
- volume (Å³/atom) = 18.11
- energy of formation (eV per formula unit) = -1.72
- electronic total energy (eV/atom) = -8.493


| no. | M_tot (μB per cell) |
| --- | --- |
| 1 | 0.09 |
| 2 | 0.00 |